A relaxed structure of LiBPt3, computed with PBE.

Computed properties:
**Energy of formation from the pure elements**: -0.51 eV per atom
**Distance to the lowest polymorph of the same formula**: 27 meV per atom

Unit cell a=5.6040 b=5.6040 c=6.1475 alpha=116.99 beta=116.99 gamma=60.01
Fractional positions:
1 Li 0.0964 0.0964 0.2893
2 Li 0.9036 0.9036 0.7107
3 B 0.3322 0.3322 0.9956
4 B 0.6678 0.6678 0.0044
5 Pt 0.0923 0.5897 0.2729
6 Pt 0.4101 0.4101 0.7267
7 Pt 0.4103 0.9077 0.7271
8 Pt 0.5897 0.0923 0.2729
9 Pt 0.5899 0.5899 0.2733
10 Pt 0.9077 0.4103 0.7271

A relaxed structure of Li6BPt10, computed with PBE.

Computed properties:
**Energy of formation from the pure elements**: -0.35 eV per atom

Unit cell a=7.0867 b=7.0867 c=5.2217 alpha=90.00 beta=90.00 gamma=120.00
Fractional positions:
1 Li 0.0000 0.4008 0.2607
2 Li 0.0000 0.5992 0.7393
3 Li 0.4008 0.0000 0.2607
4 Li 0.4008 0.4008 0.7393
5 Li 0.5992 0.0000 0.7393
6 Li 0.5992 0.5992 0.2607
7 B 0.0000 0.0000 0.5000
8 Pt 0.0000 0.2379 0.7639
9 Pt 0.0000 0.7621 0.2361
10 Pt 0.2379 0.0000 0.7639
11 Pt 0.2379 0.2379 0.2361
12 Pt 0.3333 0.6667 0.0000
13 Pt 0.3333 0.6667 0.5000
14 Pt 0.6667 0.3333 0.0000
15 Pt 0.6667 0.3333 0.5000
16 Pt 0.7621 0.0000 0.2361
17 Pt 0.7621 0.7621 0.7639

A relaxed structure of LiBPtRh2, computed with PBE.

Computed properties:
**Energy of formation from the pure elements**: -0.23 eV per atom

Unit cell a=4.0980 b=4.0980 c=4.1206 alpha=90.00 beta=90.00 gamma=90.00
Fractional positions:
1 Li 0.0000 0.0000 0.0000
2 B 0.5000 0.5000 0.5000
3 Pt 0.5000 0.5000 0.0000
4 Rh 0.0000 0.5000 0.5000
5 Rh 0.5000 0.0000 0.5000

A relaxed structure of Li2B2Pt5Rh, computed with PBE.

Computed properties:
**Energy of formation from the pure elements**: -0.41 eV per atom

Unit cell a=9.9826 b=9.9826 c=2.7887 alpha=90.00 beta=90.00 gamma=90.00
Fractional positions:
1 Li 0.1871 0.3129 0.0000
2 Li 0.3129 0.8129 0.0000
3 Li 0.6871 0.1871 0.0000
4 Li 0.8129 0.6871 0.0000
5 B 0.1267 0.6267 0.0000
6 B 0.3733 0.1267 0.0000
7 B 0.6267 0.8733 0.0000
8 B 0.8733 0.3733 0.0000
9 Pt 0.0000 0.5000 0.5000
10 Pt 0.0508 0.7728 0.5000
11 Pt 0.2272 0.0508 0.5000
12 Pt 0.2728 0.5508 0.5000
13 Pt 0.4492 0.2728 0.5000
14 Pt 0.5000 0.0000 0.5000
15 Pt 0.5508 0.7272 0.5000
16 Pt 0.7272 0.4492 0.5000
17 Pt 0.7728 0.9492 0.5000
18 Pt 0.9492 0.2272 0.5000
19 Rh 0.0000 0.0000 0.0000
20 Rh 0.5000 0.5000 0.0000

A relaxed structure of LiBPt2S, computed with PBE.

Computed properties:
**Energy**: -4.972 eV per atom

Unit cell a=4.0739 b=4.0739 c=4.5847 alpha=90.00 beta=90.00 gamma=90.00
Fractional positions:
1 Li 0.0000 0.0000 0.0000
2 B 0.0000 0.0000 0.5000
3 Pt 0.0000 0.5000 0.5000
4 Pt 0.5000 0.0000 0.5000
5 S 0.5000 0.5000 0.0000

A relaxed structure of Li2B2SbPt5, computed with PBE.

Computed properties:
**Energy**: -5.571 eV per atom

Unit cell a=9.5667 b=9.5667 c=3.1914 alpha=90.00 beta=90.00 gamma=90.00
Fractional positions:
1 Li 0.1737 0.3263 0.0000
2 Li 0.3263 0.8263 0.0000
3 Li 0.6737 0.1737 0.0000
4 Li 0.8263 0.6737 0.0000
5 B 0.1220 0.6220 0.0000
6 B 0.3780 0.1220 0.0000
7 B 0.6220 0.8780 0.0000
8 B 0.8780 0.3780 0.0000
9 Sb 0.0000 0.0000 0.0000
10 Sb 0.5000 0.5000 0.0000
11 Pt 0.0000 0.5000 0.5000
12 Pt 0.0735 0.7759 0.5000
13 Pt 0.2241 0.0735 0.5000
14 Pt 0.2759 0.5735 0.5000
15 Pt 0.4265 0.2759 0.5000
16 Pt 0.5000 0.0000 0.5000
17 Pt 0.5735 0.7241 0.5000
18 Pt 0.7241 0.4265 0.5000
19 Pt 0.7759 0.9265 0.5000
20 Pt 0.9265 0.2241 0.5000

A relaxed structure of Li2SiB2Pt5, computed with PBE.

Computed properties:
**Energy**: -5.829 eV per atom

Unit cell a=9.1699 b=9.1699 c=3.1303 alpha=90.00 beta=90.00 gamma=90.00
Fractional positions:
1 Li 0.1730 0.3270 0.0000
2 Li 0.3270 0.8270 0.0000
3 Li 0.6730 0.1730 0.0000
4 Li 0.8270 0.6730 0.0000
5 Si 0.0000 0.0000 0.0000
6 Si 0.5000 0.5000 0.0000
7 B 0.1261 0.6261 0.0000
8 B 0.3739 0.1261 0.0000
9 B 0.6261 0.8739 0.0000
10 B 0.8739 0.3739 0.0000
11 Pt 0.0000 0.5000 0.5000
12 Pt 0.0749 0.7901 0.5000
13 Pt 0.2099 0.0749 0.5000
14 Pt 0.2901 0.5749 0.5000
15 Pt 0.4251 0.2901 0.5000
16 Pt 0.5000 0.0000 0.5000
17 Pt 0.5749 0.7099 0.5000
18 Pt 0.7099 0.4251 0.5000
19 Pt 0.7901 0.9251 0.5000
20 Pt 0.9251 0.2099 0.5000

A relaxed structure of LiSmB2Pt7, computed with PBE.

Computed properties:
**Energy of formation from the pure elements**: -0.31 eV per atom

Unit cell a=9.1159 b=9.1159 c=9.1159 alpha=151.88 beta=151.88 gamma=40.19
Fractional positions:
1 Li 0.0000 0.0000 0.0000
2 Sm 0.2500 0.7500 0.5000
3 B 0.6204 0.1204 0.5000
4 B 0.8796 0.3796 0.5000
5 Pt 0.0003 0.5003 0.5000
6 Pt 0.1419 0.1419 0.0000
7 Pt 0.3928 0.3928 0.0000
8 Pt 0.4997 0.9997 0.5000
9 Pt 0.6072 0.6072 0.0000
10 Pt 0.7500 0.2500 0.5000
11 Pt 0.8581 0.8581 0.0000

A relaxed structure of LiSm2BPt6, computed with PBE.

Computed properties:
**Energy of formation from the pure elements**: -0.81 eV per atom

Unit cell a=5.6202 b=8.7227 c=7.3680 alpha=90.00 beta=90.00 gamma=90.00
Fractional positions:
1 Li 0.2500 0.2500 0.1881
2 Li 0.7500 0.7500 0.8119
3 Sm 0.2500 0.5345 0.7914
4 Sm 0.2500 0.9655 0.7914
5 Sm 0.7500 0.0345 0.2086
6 Sm 0.7500 0.4655 0.2086
7 B 0.2500 0.7500 0.3008
8 B 0.7500 0.2500 0.6992
9 Pt 0.0005 0.7500 0.0883
10 Pt 0.0101 0.2500 0.4862
11 Pt 0.2500 0.5044 0.3748
12 Pt 0.2500 0.9956 0.3748
13 Pt 0.4899 0.2500 0.4862
14 Pt 0.4995 0.7500 0.0883
15 Pt 0.5005 0.2500 0.9117
16 Pt 0.5101 0.7500 0.5138
17 Pt 0.7500 0.0044 0.6252
18 Pt 0.7500 0.4956 0.6252
19 Pt 0.9899 0.7500 0.5138
20 Pt 0.9995 0.2500 0.9117

A relaxed structure of LiSm3B2Pt9, computed with PBE.

Computed properties:
**Energy of formation from the pure elements**: -0.72 eV per atom

Unit cell a=6.5521 b=6.5521 c=6.9368 alpha=90.00 beta=90.00 gamma=120.00
Fractional positions:
1 Li 0.0000 0.0000 0.0000
2 Sm 0.0000 0.0000 0.5000
3 Sm 0.3333 0.6667 0.1686
4 Sm 0.6667 0.3333 0.8314
5 B 0.3333 0.6667 0.6587
6 B 0.6667 0.3333 0.3413
7 Pt 0.0000 0.5000 0.5000
8 Pt 0.1775 0.3551 0.8281
9 Pt 0.1775 0.8225 0.8281
10 Pt 0.3551 0.1775 0.1719
11 Pt 0.5000 0.0000 0.5000
12 Pt 0.5000 0.5000 0.5000
13 Pt 0.6449 0.8225 0.8281
14 Pt 0.8225 0.1775 0.1719
15 Pt 0.8225 0.6449 0.1719

A relaxed structure of LiSm4B3Pt12, computed with PBE.

Computed properties:
**Energy of formation from the pure elements**: -0.71 eV per atom

Unit cell a=7.6286 b=7.6286 c=7.6286 alpha=109.47 beta=109.47 gamma=109.47
Fractional positions:
1 Li 0.0000 0.0000 0.0000
2 Sm 0.0000 0.0000 0.5000
3 Sm 0.0000 0.5000 0.0000
4 Sm 0.5000 0.0000 0.0000
5 Sm 0.5000 0.5000 0.5000
6 B 0.0000 0.5000 0.5000
7 B 0.5000 0.0000 0.5000
8 B 0.5000 0.5000 0.0000
9 Pt 0.0000 0.2649 0.2649
10 Pt 0.0000 0.7351 0.7351
11 Pt 0.2500 0.5000 0.7500
12 Pt 0.2500 0.7500 0.5000
13 Pt 0.2649 0.0000 0.2649
14 Pt 0.2649 0.2649 0.0000
15 Pt 0.5000 0.2500 0.7500
16 Pt 0.5000 0.7500 0.2500
17 Pt 0.7351 0.0000 0.7351
18 Pt 0.7351 0.7351 0.0000
19 Pt 0.7500 0.2500 0.5000
20 Pt 0.7500 0.5000 0.2500

A relaxed structure of Li2Tb2BPt4, computed with PBE.

Computed properties:
**Energy of formation from the pure elements**: -0.82 eV per atom

Unit cell a=5.9264 b=5.9264 c=5.9264 alpha=117.65 beta=117.65 gamma=94.13
Fractional positions:
1 Li 0.1966 0.1966 0.0000
2 Li 0.8034 0.8034 0.0000
3 Tb 0.2500 0.7500 0.5000
4 Tb 0.7500 0.2500 0.5000
5 B 0.5000 0.5000 0.0000
6 Pt 0.2549 0.2549 0.5099
7 Pt 0.2549 0.7451 0.0000
8 Pt 0.7451 0.2549 0.0000
9 Pt 0.7451 0.7451 0.4901